1.
First-principles (PBE) data for crystalline K2ScFe at its relaxed geometry, as listed in Alexandria.

a = 6.206 Å, b = 12.992 Å, c = 3.404 Å
α = 90.00°, β = 120.13°, γ = 90.00°
Fractional positions:
K: 0.250 0.250 0.000
K: 0.250 0.750 0.000
K: 0.750 0.250 0.000
K: 0.750 0.750 0.000
Sc: 0.000 0.000 0.500
Sc: 0.500 0.500 0.500
Fe: 0.000 0.500 0.500
Fe: 0.500 0.000 0.500

Results
Symmetry: C2/m, No. 12
Energy above the lowest structure with this stoichiometry: 0.517 eV/atom

2.
First-principles (PBE) data for crystalline K2ScFe at its relaxed geometry, as listed in Alexandria.

a = 3.253 Å, b = 3.253 Å, c = 12.127 Å
α = 90.00°, β = 90.00°, γ = 90.00°
Fractional positions:
K: 0.000 0.000 0.217
K: 0.000 0.000 0.783
Sc: 0.500 0.500 0.500
Fe: 0.500 0.500 0.000

Results
Symmetry: P4/mmm, No. 123
Energy above the lowest structure with this stoichiometry: 0.562 eV/atom

3.
First-principles (PBE) data for crystalline KScFe2 at its relaxed geometry, as listed in Alexandria.

a = 3.181 Å, b = 3.181 Å, c = 8.917 Å
α = 90.00°, β = 90.00°, γ = 90.00°
Fractional positions:
K: 0.000 0.000 0.000
Sc: 0.500 0.500 0.403
Fe: 0.000 0.000 0.585
Fe: 0.500 0.500 0.697

Results
Symmetry: P4mm, No. 99
Energy above the lowest structure with this stoichiometry: 0.000 eV/atom

no.,volume (Å³/cell),uncorrected energy (eV/f.u.),formation energy (meV per atom)
1,237,-12.90,1022.0
2,128,-12.72,1067.3
3,90,-22.60,437.5